Entry from Alexandria: a relaxed Tm2PaSnO8 crystal (PBE-GGA).

The calculation puts the total energy at -8.06 eV per atom. Its formation energy without anion corrections is -2889 meV per atom. The density of states at the Fermi level comes out at 8.95 states/eV/f.u.

The structure belongs to space group Cmmm (No. 65); the cell edges are 7.008, 7.217 and 6.853 Å and the angles 90.00°, 90.00° and 90.00°. The asymmetric unit holds Tm at (0.000, 0.000, 0.242), Pa at (0.000, 0.500, 0.500), Sn at (0.000, 0.500, 0.000), O at (0.000, 0.312, 0.242), O at (0.198, 0.000, 0.500) and O at (0.208, 0.000, 0.000).